! CeNbIr2, relaxed, DFT PBE; values from VASP
&SYSTEM
  ibrav = 0, nat = 4, ntyp = 3
/
ATOMIC_SPECIES
Ce 140.12 Ce.upf
Nb 92.91 Nb.upf
Ir 192.22 Ir.upf
CELL_PARAMETERS angstrom
2.194 1.266 4.918
-2.194 1.266 4.918
0.000 -2.533 4.918
ATOMIC_POSITIONS angstrom
Ce 0.000 0.000 0.000
Nb 0.000 0.000 7.377
Ir 0.000 0.000 3.216
Ir 0.000 0.000 11.538
! offset from the most stable computed form = 0.39 eV/f.u.
! ρ = 12.51 Mg/m³
! Fermi-level density of states = 4.86 states/eV/cell
! total energy = -8.88 eV per atom